Entry 1:
The following is a DFT calculation (GGA-PBE) of La6TbNd5 after structural relaxation.

Lattice parameters (Å, degrees): 12.189 11.106 6.427 90.00 99.96 90.00
Space group C2/m (No. 12)
Symmetry-distinct sites (fractional):
La (0.249, 0.000, 0.252) (multiplicity 4)
La (0.249, 0.166, 0.750) (multiplicity 8)
Tb (0.000, 0.000, 0.500) (multiplicity 2)
Nd (0.000, 0.166, 0.000) (multiplicity 4)
Nd (0.000, 0.332, 0.500) (multiplicity 4)
Nd (0.000, 0.500, 0.000) (multiplicity 2)

Results
- DOS(E_F) (states/eV/f.u.) = 19.88
- ΔH_f (0 K) (eV per atom) = 0.01
- final energy (eV per atom) = -4.83
- ΔE to the lowest computed polymorph (eV per formula unit) = 0.000


Entry 2:
The following is a DFT calculation (GGA-PBE) of LaTb2Nd3 after structural relaxation.

Lattice parameters (Å, degrees): 3.512 6.026 19.904 90.00 90.00 90.00
Space group Immm (No. 71)
Symmetry-distinct sites (fractional):
La (0.000, 0.000, 0.000) (multiplicity 2)
Tb (0.000, 0.000, 0.362) (multiplicity 4)
Nd (0.000, 0.000, 0.192) (multiplicity 4)
Nd (0.000, 0.500, 0.000) (multiplicity 2)

Results
- DOS(E_F) (states/eV/f.u.) = 10.83
- ΔH_f (0 K) (eV per atom) = 0.30
- final energy (eV per atom) = -4.45
- ΔE to the lowest computed polymorph (eV per formula unit) = 1.455